Computed, not measured: an optimized crystal structure of NiB2W3 at the PBE level of DFT.

Cell lengths 3.0867, 3.0867, 18.0593 Å; angles 90.00, 90.00, 120.00 degrees
Closest atoms and distances in Å follow each position.
Atoms (fractional coordinates):
Ni  0.0000  0.0000  0.2500  6 W 2.65
Ni  0.0000  0.0000  0.7500  6 W 2.65
B  0.3333  0.6667  0.0739  6 W 2.16-2.23
B  0.3333  0.6667  0.4261  6 W 2.16-2.23
B  0.6667  0.3333  0.5739  6 W 2.16-2.23
B  0.6667  0.3333  0.9261  6 W 2.16-2.23
W  0.0000  0.0000  0.0000  6 B 2.23
W  0.0000  0.0000  0.5000  6 B 2.23
W  0.3333  0.6667  0.6410  3 B 2.16
W  0.3333  0.6667  0.8590  3 B 2.16
W  0.6667  0.3333  0.1410  3 B 2.16
W  0.6667  0.3333  0.3590  3 B 2.16

Values from the calculation:
Space group   No. 194

***

Computed, not measured: an optimized crystal structure of NiB4W at the PBE level of DFT.

Cell lengths 4.4368, 4.4368, 4.4368 Å; angles 140.63, 107.54, 85.73 degrees
Closest atoms and distances in Å follow each position.
Atoms (fractional coordinates):
Ni  0.0000  0.0000  0.0000  12 B 2.37-2.38
B  0.0818  0.7510  0.3308  3 B 1.72-1.77
B  0.4202  0.7510  0.6692  3 B 1.72-1.77
B  0.5798  0.2490  0.3308  3 B 1.72-1.77
B  0.9182  0.2490  0.6692  3 B 1.72-1.77
W  0.5000  0.5000  0.0000  12 B 2.38

Values from the calculation:
Space group   No. 71

***

| no. | E above lowest polymorph (eV per atom) |
| --- | --- |
| 1 | 0.175 |
| 2 | 0.027 |